A.
Density functional theory data (PBE) for Sr2YOs after structural relaxation.

Properties
- SG: No. 8

Lattice parameters (Å, degrees): 5.265 5.265 8.493 106.76 106.76 41.71
Element x y z (fractional)
1 Sr 0.000 0.000 0.000
2 Sr 0.158 0.158 0.595
3 Y 0.342 0.342 0.298
4 Os 0.626 0.626 0.298

B.
Density functional theory data (PBE) for Sr2YOs after structural relaxation.

Properties
- SG: No. 71

Lattice parameters (Å, degrees): 9.088 9.088 9.088 157.61 150.55 37.30
Element x y z (fractional)
1 Sr 0.153 0.153 0.000
2 Sr 0.847 0.847 0.000
3 Y 0.500 0.000 0.500
4 Os 0.000 0.500 0.500

C.
Density functional theory data (PBE) for Sr2YOs after structural relaxation.

Properties
- SG: No. 38

Lattice parameters (Å, degrees): 3.695 9.162 9.162 27.32 90.00 90.00
Element x y z (fractional)
1 Sr 0.000 0.000 0.000
2 Sr 0.500 0.310 0.310
3 Y 0.000 0.666 0.666
4 Os 0.500 0.141 0.141

Energies relative to the minimum, kJ/mol of atoms: A 4.3; B 3.0; C 0.0

A.
Density functional theory data (PBE) for SrY2Os after structural relaxation.

Properties
- SG: No. 38

Lattice parameters (Å, degrees): 3.682 8.449 8.449 29.89 90.00 90.00
Element x y z (fractional)
1 Sr 0.000 0.000 0.000
2 Y 0.000 0.686 0.686
3 Y 0.500 0.321 0.321
4 Os 0.500 0.161 0.161

B.
Density functional theory data (PBE) for SrY2Os after structural relaxation.

Properties
- SG: No. 12

Lattice parameters (Å, degrees): 4.191 4.191 9.450 102.69 102.69 59.91
Element x y z (fractional)
1 Sr 0.000 0.000 0.000
2 Y 0.215 0.215 0.647
3 Y 0.785 0.785 0.353
4 Os 0.500 0.500 0.500

Energies relative to the minimum, kJ/mol of atoms: A 5.4; B 0.0

A.
Density functional theory data (PBE) for SrZn3Os after structural relaxation.

Properties
- SG: No. 221

Lattice parameters (Å, degrees): 5.628 5.628 5.628 90.00 90.00 90.00
Element x y z (fractional)
1 Sr 0.000 0.000 0.000
2 Zn 0.000 0.000 0.500
3 Zn 0.000 0.500 0.000
4 Zn 0.500 0.000 0.000
5 Os 0.500 0.500 0.500

B.
Density functional theory data (PBE) for SrZn3Os after structural relaxation.

Properties
- SG: No. 221

Lattice parameters (Å, degrees): 4.866 4.866 4.866 90.00 90.00 90.00
Element x y z (fractional)
1 Sr 0.000 0.000 0.000
2 Zn 0.000 0.500 0.500
3 Zn 0.500 0.000 0.500
4 Zn 0.500 0.500 0.000
5 Os 0.500 0.500 0.500

Energies relative to the minimum, kJ/mol of atoms: A 194.8; B 0.0

A.
Density functional theory data (PBE) for SrZnOs3 after structural relaxation.

Properties
- SG: No. 221

Lattice parameters (Å, degrees): 4.882 4.882 4.882 90.00 90.00 90.00
Element x y z (fractional)
1 Sr 0.000 0.000 0.000
2 Zn 0.500 0.500 0.500
3 Os 0.000 0.000 0.500
4 Os 0.000 0.500 0.000
5 Os 0.500 0.000 0.000

B.
Density functional theory data (PBE) for SrZnOs3 after structural relaxation.

Properties
- SG: No. 221

Lattice parameters (Å, degrees): 4.661 4.661 4.661 90.00 90.00 90.00
Element x y z (fractional)
1 Sr 0.000 0.000 0.000
2 Zn 0.500 0.500 0.500
3 Os 0.000 0.500 0.500
4 Os 0.500 0.000 0.500
5 Os 0.500 0.500 0.000

Energies relative to the minimum, kJ/mol of atoms: A 185.0; B 0.0

A.
Density functional theory data (PBE) for SrZr2Os after structural relaxation.

Properties
- SG: No. 44

Lattice parameters (Å, degrees): 6.406 6.406 6.406 148.33 134.80 56.24
Element x y z (fractional)
1 Sr 0.000 0.000 0.000
2 Zr 0.288 0.788 0.500
3 Zr 0.603 0.603 0.000
4 Os 0.770 0.270 0.500

B.
Density functional theory data (PBE) for SrZr2Os after structural relaxation.

Properties
- SG: No. 8

Lattice parameters (Å, degrees): 4.332 4.332 7.373 107.11 107.11 59.88
Element x y z (fractional)
1 Sr 0.000 0.000 0.000
2 Zr 0.208 0.208 0.626
3 Zr 0.446 0.446 0.339
4 Os 0.825 0.825 0.477

C.
Density functional theory data (PBE) for SrZr2Os after structural relaxation.

Properties
- SG: No. 123

Lattice parameters (Å, degrees): 4.949 4.949 3.540 90.00 90.00 90.00
Element x y z (fractional)
1 Sr 0.000 0.000 0.000
2 Zr 0.000 0.500 0.500
3 Zr 0.500 0.000 0.500
4 Os 0.500 0.500 0.000

Energies relative to the minimum, kJ/mol of atoms: A 15.8; B 0.0; C 47.9

A.
Density functional theory data (PBE) for SrZr2Os after structural relaxation.

Properties
- SG: No. 47

Lattice parameters (Å, degrees): 3.564 4.826 5.124 90.00 90.00 90.00
Element x y z (fractional)
1 Sr 0.000 0.000 0.000
2 Zr 0.000 0.500 0.500
3 Zr 0.500 0.500 0.000
4 Os 0.500 0.000 0.500

B.
Density functional theory data (PBE) for SrZr2Os after structural relaxation.

Properties
- SG: No. 122

Lattice parameters (Å, degrees): 9.681 9.681 9.681 147.34 147.34 46.87
Element x y z (fractional)
1 Sr 0.000 0.000 0.000
2 Sr 0.750 0.250 0.500
3 Zr 0.360 0.625 0.235
4 Zr 0.375 0.610 0.735
5 Zr 0.390 0.125 0.765
6 Zr 0.875 0.640 0.265
7 Os 0.250 0.750 0.500
8 Os 0.500 0.500 0.000

Energies relative to the minimum, kJ/mol of atoms: A 0.0; B 28.9